VASP calculation (PBE) on crystalline La2TbDy4Tm at its relaxed geometry.

The value obtained for the magnetization is 0.1 μB/f.u. The calculation puts the formation energy at 39.4 kJ per mole of atoms.

The structure belongs to space group Imma (No. 74); the cell edges are 6.8118, 11.8664 and 13.2804 Å and the angles 90.00°, 90.00° and 90.00°. The distinct sites, in fractional coordinates, are La at (0.0000, 0.0000, 0.0000), La at (0.2500, 0.2500, 0.2500), Tb at (0.0000, 0.0000, 0.5000), Dy at (0.0000, 0.0060, 0.7488), Dy at (0.2478, 0.2500, 0.5059) and Tm at (0.2500, 0.2500, 0.7500).

---

VASP calculation (PBE) on crystalline PrYHo2Sc2 at its relaxed geometry.

The value obtained for the magnetization is 0.0 μB/f.u. The calculation puts the formation energy at 7.5 kJ per mole of atoms.

The structure belongs to space group Pnnm (No. 58); the cell edges are 6.8061, 9.5524 and 5.4893 Å and the angles 90.00°, 90.00° and 90.00°. The distinct sites, in fractional coordinates, are Pr at (0.0000, 0.0000, 0.0000), Y at (0.0000, 0.5000, 0.5000), Ho at (0.2474, 0.3334, 0.0000) and Sc at (0.2499, 0.1668, 0.5000).